[1]
Here is an optimized crystal structure of Rb2SiN2 from Alexandria via LeMat-Bulk. Energies are from PBE.

Structure (POSCAR):
```
Rb2SiN2
1.0
-3.696 5.644 2.468
3.696 -5.644 2.468
3.696 5.644 -2.468
Rb Si N
4 2 4
Direct
0.152 0.173 0.325
0.348 0.673 0.022
0.652 0.327 0.978
0.848 0.827 0.675
0.250 0.750 0.500
0.750 0.250 0.500
0.080 0.627 0.707
0.420 0.127 0.547
0.580 0.873 0.453
0.920 0.373 0.293
```

E (eV/f.u.): -26.4
ΔE_f (raw) (eV/atom): -0.47
V (Å³ per cell): 205.9
Crystal system: orthorhombic

[2]
Here is an optimized crystal structure of RbSiN2 from Alexandria via LeMat-Bulk. Energies are from PBE.

Structure (POSCAR):
```
RbSiN2
1.0
-2.795 2.795 3.968
2.795 -2.795 3.968
2.795 2.795 -3.968
Rb Si N
2 2 4
Direct
0.375 0.625 0.750
0.625 0.375 0.250
0.125 0.875 0.250
0.875 0.125 0.750
0.000 0.000 0.000
0.000 0.000 0.500
0.000 0.500 0.000
0.500 0.000 0.500
```

E (eV/f.u.): -25.1
ΔE_f (raw) (eV/atom): -0.52
V (Å³ per cell): 124.0
N(E_F) (states/eV per cell): 4.07
Crystal system: tetragonal

[3]
Here is an optimized crystal structure of RbSi2N from Alexandria via LeMat-Bulk. Energies are from PBE.

Structure (POSCAR):
```
RbSi2N
1.0
-3.124 3.124 4.640
3.124 -3.124 4.640
3.124 3.124 -4.640
Rb Si N
2 4 2
Direct
0.000 0.000 0.000
0.750 0.250 0.500
0.292 0.625 0.167
0.375 0.542 0.667
0.458 0.125 0.833
0.875 0.708 0.333
0.250 0.750 0.500
0.500 0.500 0.000
```

E (eV/f.u.): -17.3
ΔE_f (raw) (eV/atom): 0.72
V (Å³ per cell): 181.2
N(E_F) (states/eV per cell): 2.53
Crystal system: tetragonal

[4]
Here is an optimized crystal structure of RbSi3N from Alexandria via LeMat-Bulk. Energies are from PBE.

Structure (POSCAR):
```
RbSi3N
1.0
5.535 0.000 0.000
0.000 5.535 0.000
0.000 0.000 5.535
Rb Si N
1 3 1
Direct
0.000 0.000 0.000
0.000 0.000 0.500
0.000 0.500 0.000
0.500 0.000 0.000
0.500 0.500 0.500
```

E (eV/f.u.): -8.3
ΔE_f (raw) (eV/atom): 3.45
Offset from the most stable computed form (meV/atom): 2313
V (Å³ per cell): 169.5
N(E_F) (states/eV per cell): 5.98
Crystal system: cubic

[5]
Here is an optimized crystal structure of RbSiN2 from Alexandria via LeMat-Bulk. Energies are from PBE.

Structure (POSCAR):
```
RbSiN2
1.0
1.516 0.875 6.890
-1.516 0.875 6.890
0.000 -1.750 6.890
Rb Si N
1 1 2
Direct
0.000 0.000 0.000
0.500 0.500 0.500
0.124 0.124 0.124
0.876 0.876 0.876
```

E (eV/f.u.): -21.6
ΔE_f (raw) (eV/atom): 0.36
V (Å³ per cell): 54.8
N(E_F) (states/eV per cell): 1.92
Crystal system: trigonal

[6]
Here is an optimized crystal structure of Rb2SiN from Alexandria via LeMat-Bulk. Energies are from PBE.

Structure (POSCAR):
```
Rb2SiN
1.0
-6.299 6.299 1.797
6.299 -6.299 1.797
6.299 6.299 -1.797
Rb Si N
4 2 2
Direct
0.375 0.143 0.268
0.857 0.125 0.232
0.875 0.107 0.732
0.893 0.625 0.768
0.250 0.750 0.500
0.500 0.500 0.000
0.000 0.000 0.000
0.750 0.250 0.500
```

E (eV/f.u.): -14.8
ΔE_f (raw) (eV/atom): 0.22
Offset from the most stable computed form (meV/atom): 0
V (Å³ per cell): 285.1
N(E_F) (states/eV per cell): 5.25
Crystal system: tetragonal

[7]
Here is an optimized crystal structure of Rb2SiN from Alexandria via LeMat-Bulk. Energies are from PBE.

Structure (POSCAR):
```
Rb2SiN
1.0
0.000 3.856 3.856
3.856 0.000 3.856
3.856 3.856 0.000
Rb Si N
2 1 1
Direct
0.250 0.250 0.250
0.750 0.750 0.750
0.000 0.000 0.000
0.500 0.500 0.500
```

E (eV/f.u.): -9.9
ΔE_f (raw) (eV/atom): 1.45
Offset from the most stable computed form (meV/atom): 1232
V (Å³ per cell): 114.7
N(E_F) (states/eV per cell): 5.18
Crystal system: cubic

[8]
Here is an optimized crystal structure of RbSi3N from Alexandria via LeMat-Bulk. Energies are from PBE.

Structure (POSCAR):
```
RbSi3N
1.0
4.549 0.000 0.000
0.000 4.549 0.000
0.000 0.000 4.549
Rb Si N
1 3 1
Direct
0.000 0.000 0.000
0.000 0.500 0.500
0.500 0.000 0.500
0.500 0.500 0.000
0.500 0.500 0.500
```

E (eV/f.u.): -19.9
ΔE_f (raw) (eV/atom): 1.14
Offset from the most stable computed form (meV/atom): 0
V (Å³ per cell): 94.1
N(E_F) (states/eV per cell): 3.90
Crystal system: cubic